# 1
Tb2Ho4In GGA-PBE relaxed; volume = 424.16 Å³/cell; distance to the lowest polymorph of the same formula = 0.5 kJ/mol of atoms; density = 8.6 g/cm3; total magnetic moment = 0.00 μB per cell; symmetry = No. 11; energy of formation = -0.0276 eV per atom; crystal system = monoclinic
1.0
5.738 0.000 -0.394
0.000 6.634 0.000
-2.263 0.000 11.298
Tb Ho In
4 8 2
direct
0.570 0.750 0.022
0.430 0.250 0.978
0.262 0.250 0.426
0.738 0.750 0.574
0.629 0.493 0.287
0.986 0.750 0.872
0.014 0.250 0.128
0.629 0.007 0.287
0.848 0.250 0.566
0.371 0.993 0.713
0.371 0.507 0.713
0.152 0.750 0.434
0.131 0.750 0.161
0.869 0.250 0.839


# 2
Rb3BI GGA-PBE relaxed; formation energy (no corrections) = 101.2 kJ/mol of formula units; volume = 256.88 Å³/cell; distance to the lowest polymorph of the same formula = 0.0 kJ/mol of atoms; density = 2.5 g/cm3; total magnetic moment = 3.00 μB per cell; symmetry = No. 221; crystal system = cubic
1.0
-1.248 -6.215 -0.476
5.893 -1.335 1.976
-2.032 -0.053 6.023
I B Rb
1 1 3
direct
0.500 0.500 0.500
0.000 0.000 0.000
0.000 0.500 0.000
0.000 0.000 0.500
0.500 0.000 0.000


# 3
CaBe2NbTc GGA-PBE relaxed; volume = 100.31 Å³/cell; density = 4.1 g/cm3; total magnetic moment = 2.83 μB per cell; symmetry = No. 123; energy of formation = 1.8709 eV per atom; crystal system = tetragonal
1.0
4.516 0.000 0.000
0.000 4.919 0.000
0.000 0.000 4.516
Be Nb Ca Tc
2 1 1 1
direct
0.000 0.000 0.500
0.500 0.000 0.000
0.000 0.000 0.000
0.000 0.500 0.000
0.500 0.500 0.500


# 4
Pr6Nd4Tm GGA-PBE relaxed; volume = 399.26 Å³/cell; density = 6.6 g/cm3; total magnetic moment = 0.00 μB per cell; symmetry = No. 121; energy of formation = 0.2693 eV per atom; crystal system = tetragonal
1.0
-3.279 6.021 0.430
-5.880 -3.296 1.323
6.262 -1.038 7.409
Pr Nd Tm
6 4 1
direct
0.866 0.490 0.356
0.490 0.866 0.356
0.510 0.510 0.644
0.000 0.500 0.000
0.134 0.134 0.644
0.500 0.000 0.000
0.054 0.709 0.763
0.946 0.946 0.237
0.709 0.054 0.763
0.291 0.291 0.237
0.500 0.500 0.000